(1)
Density functional theory data (PBE) for a relaxed Be4Tl5 crystal.

abc: 7.7411 7.7411 7.3067
angles: 90.00 90.00 120.00
Last column: nearest neighbours and their distance in Å.
Fractional coordinates of all 18 atoms:
Be  0.0000  0.0000  0.0000  6 Tl 2.81
Be  0.0000  0.0000  0.5000  6 Tl 2.81
Be  0.0000  0.3700  0.2500  3 Tl 2.58-2.74
Be  0.0000  0.6300  0.7500  3 Tl 2.58-2.74
Be  0.3700  0.0000  0.2500  3 Tl 2.58-2.74
Be  0.3700  0.3700  0.7500  3 Tl 2.58-2.74
Be  0.6300  0.0000  0.7500  3 Tl 2.58-2.74
Be  0.6300  0.6300  0.2500  3 Tl 2.58-2.74
Tl  0.0000  0.2759  0.7500  5 Be 2.58-2.81
Tl  0.0000  0.7241  0.2500  5 Be 2.58-2.81
Tl  0.2759  0.0000  0.7500  5 Be 2.58-2.81
Tl  0.2759  0.2759  0.2500  5 Be 2.58-2.81
Tl  0.3333  0.6667  0.0000  6 Be 3.06, 6 Tl 3.37
Tl  0.3333  0.6667  0.5000  6 Be 3.06, 6 Tl 3.37
Tl  0.6667  0.3333  0.0000  6 Be 3.06, 6 Tl 3.37
Tl  0.6667  0.3333  0.5000  6 Be 3.06, 6 Tl 3.37
Tl  0.7241  0.0000  0.2500  5 Be 2.58-2.81
Tl  0.7241  0.7241  0.7500  5 Be 2.58-2.81

Calculated values
ΔH_f (0 K): 6.6 eV/f.u.
Offset from the most stable computed form: 1.13 eV per formula unit
M_tot: 0.0 Bohr magnetons per cell

=====

(2)
Density functional theory data (PBE) for a relaxed TcBIr2Pt crystal.

abc: 4.1452 4.1452 4.1784
angles: 90.00 90.00 90.00
Last column: nearest neighbours and their distance in Å.
Fractional coordinates of all 5 atoms:
Tc  0.0000  0.0000  0.0000  4 Pt 2.93, 8 Ir 2.94
B  0.5000  0.5000  0.5000  4 Ir 2.07, 2 Pt 2.09
Ir  0.0000  0.5000  0.5000  2 B 2.07
Ir  0.5000  0.0000  0.5000  2 B 2.07
Pt  0.5000  0.5000  0.0000  2 B 2.09

Calculated values
ΔH_f (0 K): 1.7 eV/f.u.
M_tot: 3.8 Bohr magnetons per cell

=====

(3)
Density functional theory data (PBE) for a relaxed NbSiMo3 crystal.

abc: 4.4831 4.4831 4.4831
angles: 90.00 90.00 90.00
Last column: nearest neighbours and their distance in Å.
Fractional coordinates of all 5 atoms:
Nb  0.0000  0.0000  0.0000  12 Mo 3.17
Si  0.5000  0.5000  0.5000  6 Mo 2.24
Mo  0.0000  0.5000  0.5000  2 Si 2.24
Mo  0.5000  0.0000  0.5000  2 Si 2.24
Mo  0.5000  0.5000  0.0000  2 Si 2.24

Calculated values
Offset from the most stable computed form: 0.00 eV per formula unit
M_tot: 0.0 Bohr magnetons per cell
ΔE_f (raw): 0.835 eV/atom

=====

(4)
Density functional theory data (PBE) for a relaxed GeRhO2 crystal.

abc: 6.4802 6.4802 6.4802
angles: 26.32 26.32 26.32
Last column: nearest neighbours and their distance in Å.
Fractional coordinates of all 4 atoms:
Ge  0.0000  0.0000  0.0000  6 O 2.00
Rh  0.5000  0.5000  0.5000  2 O 2.07
O  0.3896  0.3896  0.3896  3 Ge 2.00, 1 Rh 2.07
O  0.6104  0.6104  0.6104  3 Ge 2.00, 1 Rh 2.07

Calculated values
M_tot: 0.0 Bohr magnetons per cell
ΔE_f (raw): -0.669 eV/atom

=====

(5)
Density functional theory data (PBE) for a relaxed Ba3Np2O8 crystal.

abc: 7.3385 7.3385 9.1894
angles: 126.73 126.73 58.50
Last column: nearest neighbours and their distance in Å.
Fractional coordinates of all 13 atoms:
Ba  0.0000  0.0000  0.0000  6 O 2.78-2.81
Ba  0.2564  0.7436  0.5000  6 O 2.65-2.74
Ba  0.7436  0.2564  0.5000  6 O 2.65-2.74
Np  0.2702  0.2702  0.9984  2 O 1.98-2.03
Np  0.7298  0.7298  0.0016  2 O 1.98-2.03
O  0.0079  0.4494  0.1282  2 Np 2.25-2.32
O  0.0559  0.0559  0.7526  1 Np 2.03
O  0.4494  0.0079  0.1282  2 Np 2.25-2.32
O  0.4735  0.4735  0.2539  1 Np 1.98
O  0.5265  0.5265  0.7461  1 Np 1.98
O  0.5506  0.9921  0.8718  2 Np 2.25-2.32
O  0.9441  0.9441  0.2474  1 Np 2.03
O  0.9921  0.5506  0.8718  2 Np 2.25-2.32

Calculated values
Offset from the most stable computed form: 0.00 eV per formula unit
M_tot: 4.0 Bohr magnetons per cell
ΔE_f (raw): -2.818 eV/atom

=====

(6)
Density functional theory data (PBE) for a relaxed Rb2MgZrBr6 crystal.

abc: 7.7402 7.7402 7.7402
angles: 60.00 60.00 60.00
Last column: nearest neighbours and their distance in Å.
Fractional coordinates of all 10 atoms:
Rb  0.2500  0.2500  0.2500  12 Br 3.87
Rb  0.7500  0.7500  0.7500  12 Br 3.87
Mg  0.0000  0.0000  0.0000  6 Br 2.68
Zr  0.5000  0.5000  0.5000  6 Br 2.79
Br  0.2452  0.2452  0.7548  1 Mg 2.68, 1 Zr 2.79
Br  0.2452  0.7548  0.2452  1 Mg 2.68, 1 Zr 2.79
Br  0.2452  0.7548  0.7548  1 Mg 2.68, 1 Zr 2.79
Br  0.7548  0.2452  0.2452  1 Mg 2.68, 1 Zr 2.79
Br  0.7548  0.2452  0.7548  1 Mg 2.68, 1 Zr 2.79
Br  0.7548  0.7548  0.2452  1 Mg 2.68, 1 Zr 2.79

Calculated values
M_tot: 2.0 Bohr magnetons per cell
ΔE_f (raw): -1.353 eV/atom

=====

(7)
Density functional theory data (PBE) for a relaxed RbZrI4 crystal.

abc: 9.4130 9.4130 7.5525
angles: 96.85 96.85 50.81
Last column: nearest neighbours and their distance in Å.
Fractional coordinates of all 12 atoms:
Rb  0.2030  0.2030  0.2207  9 I 3.85-4.19
Rb  0.7970  0.7970  0.7793  9 I 3.85-4.19
Zr  0.4771  0.4771  0.6905  7 I 2.98-3.09, 1 Zr 3.08
Zr  0.5229  0.5229  0.3095  7 I 2.98-3.09, 1 Zr 3.08
I  0.1678  0.6244  0.4140  2 Zr 2.98-3.02
I  0.2578  0.7422  0.0000  2 Zr 3.03
I  0.3081  0.3081  0.7995  1 Zr 3.09
I  0.3756  0.8322  0.5860  2 Zr 2.98-3.02
I  0.6244  0.1678  0.4140  2 Zr 2.98-3.02
I  0.6919  0.6919  0.2005  1 Zr 3.09
I  0.7422  0.2578  0.0000  2 Zr 3.03
I  0.8322  0.3756  0.5860  2 Zr 2.98-3.02

Calculated values
M_tot: 0.0 Bohr magnetons per cell
ΔE_f (raw): -1.050 eV/atom

=====

(8)
Density functional theory data (PBE) for a relaxed MgRe2P crystal.

abc: 4.6914 4.6914 4.6914
angles: 130.68 130.68 72.32
Last column: nearest neighbours and their distance in Å.
Fractional coordinates of all 4 atoms:
Mg  0.0000  0.0000  0.0000  8 Re 2.72-2.77, 4 P 2.72
Re  0.5000  0.5000  0.0000  4 Re 2.72, 4 P 2.72, 4 Mg 2.77
Re  0.7500  0.2500  0.5000  4 Re 2.72, 4 Mg 2.72, 4 P 2.77
P  0.2500  0.7500  0.5000  8 Re 2.72-2.77, 4 Mg 2.72

Calculated values
ΔH_f (0 K): 1.3 eV/f.u.
Offset from the most stable computed form: 1.38 eV per formula unit
M_tot: 0.0 Bohr magnetons per cell

=====

(9)
Density functional theory data (PBE) for a relaxed CsSbCl2 crystal.

abc: 5.7185 5.7185 5.7185
angles: 60.00 60.00 60.00
Last column: nearest neighbours and their distance in Å.
Fractional coordinates of all 4 atoms:
Cs  0.0000  0.0000  0.0000  8 Cl 3.50
Sb  0.5000  0.5000  0.5000  8 Cl 3.50
Cl  0.2500  0.2500  0.2500  4 Sb 3.50, 4 Cs 3.50
Cl  0.7500  0.7500  0.7500  4 Sb 3.50, 4 Cs 3.50

Calculated values
Offset from the most stable computed form: 1.40 eV per formula unit
M_tot: 2.0 Bohr magnetons per cell
ΔE_f (raw): -0.571 eV/atom

=====

(10)
Density functional theory data (PBE) for a relaxed Tb2Pr6Er crystal.

abc: 10.1308 10.1308 3.6859
angles: 90.00 90.00 124.03
Last column: nearest neighbours and their distance in Å.
Fractional coordinates of all 9 atoms:
Tb  0.1745  0.8255  0.0000  8 Pr 3.60-3.79, 2 Er 3.63, 2 Tb 3.69
Tb  0.8255  0.1745  0.0000  8 Pr 3.60-3.79, 2 Er 3.63, 2 Tb 3.69
Pr  0.1597  0.4905  0.5000  6 Pr 3.33-3.69, 2 Tb 3.60
Pr  0.3152  0.3152  0.0000  7 Pr 3.49-3.69, 2 Er 3.52
Pr  0.4905  0.1597  0.5000  6 Pr 3.33-3.69, 2 Tb 3.60
Pr  0.5095  0.8403  0.5000  6 Pr 3.33-3.69, 2 Tb 3.60
Pr  0.6848  0.6848  0.0000  7 Pr 3.49-3.69, 2 Er 3.52
Pr  0.8403  0.5095  0.5000  6 Pr 3.33-3.69, 2 Tb 3.60
Er  0.0000  0.0000  0.5000  4 Pr 3.52, 4 Tb 3.63, 2 Er 3.69

Calculated values
ΔH_f (0 K): 1.2 eV/f.u.
Offset from the most stable computed form: 0.43 eV per formula unit
M_tot: 0.0 Bohr magnetons per cell